No. 1
Here is SmIn3Br7 after structural relaxation from Alexandria via LeMat-Bulk. Energies are from GGA-PBE.

Results
Space-group type: Cm, No. 8
E_form (uncorrected): -11.7 eV per formula unit

abc: 7.617 7.617 7.585
angles: 76.51 76.51 87.59
Atoms (fractional coordinates):
In 0.525 0.525 0.946
In 0.218 0.769 0.516
In 0.769 0.218 0.516
Br 0.136 0.136 0.274
Br 0.633 0.025 0.260
Br 0.025 0.633 0.260
Br 0.838 0.838 0.769
Br 0.486 0.486 0.555
Br 0.332 0.934 0.809
Br 0.934 0.332 0.809
Sm 0.979 0.979 0.034


No. 2
Here is PmSmZnHg after structural relaxation from Alexandria via LeMat-Bulk. Energies are from GGA-PBE.

Results
Distance to the lowest polymorph of the same formula: 0.0 kJ/mol of formula units
Energy of formation: -0.40 eV per atom
Space-group type: P4mm, No. 99

abc: 3.708 3.708 7.516
angles: 90.00 90.00 90.00
Atoms (fractional coordinates):
Zn 0.000 0.000 0.359
Hg 0.000 0.000 0.854
Sm 0.500 0.500 0.590
Pm 0.500 0.500 0.124